The following is a GGA-PBE calculation of a relaxed NiH2Pd2 crystal, from Alexandria via LeMat-Bulk.

Output
The value obtained for the energy above the most stable polymorph in this dataset is 83 meV/atom. As for the density of states at the Fermi level: 0.8242 states/eV per atom. Its total energy is -4.48 eV per atom.

a = 5.800 Å, b = 5.800 Å, c = 2.973 Å
α = 90.00°, β = 90.00°, γ = 90.00°
Space group P4/mbm (No. 127)
Asymmetric unit:
1 Ni 0.000 0.000 0.000
2 H 0.210 0.290 0.000
3 Pd 0.172 0.672 0.500